(1)
Material: Mg2InPt2
Method: DFT, PBEsol
State: relaxed

Its density is 10.59 Mg/m³. For the electronic total energy, the calculation gives -4.69 eV/atom. The value obtained for the total magnetic moment is 0.000 μB per formula unit. The formation enthalpy at 0 K comes out at -624 meV/atom.

a b c (Å): 7.616 7.616 2.994
angles (deg): 90.00 90.00 90.00
Sites, in units of the cell vectors:
Mg: 0.146 0.354 0.000
Mg: 0.354 0.854 0.000
Mg: 0.646 0.146 0.000
Mg: 0.854 0.646 0.000
In: 0.000 0.000 0.500
In: 0.500 0.500 0.500
Pt: 0.149 0.649 0.500
Pt: 0.351 0.149 0.500
Pt: 0.649 0.851 0.500
Pt: 0.851 0.351 0.500

(2)
Material: Al2TcMo
Method: DFT, PBEsol
State: relaxed

The value obtained for the energy above the most stable polymorph in this dataset is 1.22 eV/f.u. Its density is 7.16 Mg/m³. For the electronic total energy, the calculation gives -7.84 eV/atom. The value obtained for the total magnetic moment is 0.004 μB per formula unit. The formation enthalpy at 0 K comes out at -40 meV/atom.

a b c (Å): 4.100 4.100 3.421
angles (deg): 90.00 90.00 90.00
Sites, in units of the cell vectors:
Al: 0.000 0.500 0.000
Al: 0.500 0.000 0.000
Tc: 0.000 0.000 0.500
Mo: 0.500 0.500 0.500